(1)
An optimized crystal structure of Th3Nb5H12. Source: Alexandria, functional PBE.

Cell: 10.617 10.617 10.617 Å, 109.47 109.47 109.47°
Fractional coordinates of all 80 atoms:
Th  0.125  0.250  0.375
Th  0.125  0.375  0.750
Th  0.250  0.375  0.125
Th  0.250  0.875  0.625
Th  0.375  0.125  0.250
Th  0.375  0.750  0.125
Th  0.625  0.250  0.875
Th  0.625  0.875  0.750
Th  0.750  0.125  0.375
Th  0.750  0.625  0.875
Th  0.875  0.625  0.250
Th  0.875  0.750  0.625
Nb  0.000  0.000  0.000
Nb  0.000  0.000  0.500
Nb  0.000  0.500  0.000
Nb  0.000  0.500  0.500
Nb  0.125  0.750  0.875
Nb  0.125  0.875  0.250
Nb  0.250  0.125  0.875
Nb  0.250  0.625  0.375
Nb  0.375  0.250  0.625
Nb  0.375  0.625  0.750
Nb  0.500  0.000  0.000
Nb  0.500  0.000  0.500
Nb  0.500  0.500  0.000
Nb  0.500  0.500  0.500
Nb  0.625  0.375  0.250
Nb  0.625  0.750  0.375
Nb  0.750  0.375  0.625
Nb  0.750  0.875  0.125
Nb  0.875  0.125  0.750
Nb  0.875  0.250  0.125
H  0.038  0.206  0.121
H  0.038  0.333  0.917
H  0.083  0.621  0.416
H  0.083  0.962  0.667
H  0.084  0.706  0.667
H  0.084  0.879  0.417
H  0.121  0.038  0.206
H  0.121  0.583  0.916
H  0.167  0.206  0.584
H  0.167  0.462  0.583
H  0.206  0.121  0.038
H  0.206  0.584  0.167
H  0.294  0.333  0.916
H  0.294  0.462  0.379
H  0.333  0.916  0.294
H  0.333  0.917  0.038
H  0.379  0.294  0.462
H  0.379  0.584  0.917
H  0.416  0.083  0.621
H  0.416  0.833  0.794
H  0.417  0.084  0.879
H  0.417  0.833  0.538
H  0.462  0.379  0.294
H  0.462  0.583  0.167
H  0.538  0.417  0.833
H  0.538  0.621  0.706
H  0.583  0.167  0.462
H  0.583  0.916  0.121
H  0.584  0.167  0.206
H  0.584  0.917  0.379
H  0.621  0.416  0.083
H  0.621  0.706  0.538
H  0.667  0.083  0.962
H  0.667  0.084  0.706
H  0.706  0.538  0.621
H  0.706  0.667  0.084
H  0.794  0.416  0.833
H  0.794  0.879  0.962
H  0.833  0.538  0.417
H  0.833  0.794  0.416
H  0.879  0.417  0.084
H  0.879  0.962  0.794
H  0.916  0.121  0.583
H  0.916  0.294  0.333
H  0.917  0.038  0.333
H  0.917  0.379  0.584
H  0.962  0.667  0.083
H  0.962  0.794  0.879

Properties
Volume in Å³/f.u.: 230.34
Total moment in μB/atom: 0.000
Raw total energy in eV per atom: -5.86
Space group: Ia-3d (230)



(2)
An optimized crystal structure of ThNb2H. Source: Alexandria, functional PBE.

Cell: 3.100 3.100 24.961 Å, 90.00 90.00 120.00°
Fractional coordinates of all 12 atoms:
Th  0.000  0.000  0.000
Th  0.333  0.667  0.667
Th  0.667  0.333  0.333
Nb  0.000  0.000  0.117
Nb  0.000  0.000  0.883
Nb  0.333  0.667  0.549
Nb  0.333  0.667  0.784
Nb  0.667  0.333  0.216
Nb  0.667  0.333  0.451
H  0.000  0.000  0.500
H  0.333  0.667  0.167
H  0.667  0.333  0.833

Properties
Volume in Å³/f.u.: 69.25
Total moment in μB/atom: 0.000
Raw total energy in eV per atom: -7.36
Space group: R-3m (166)



(3)
An optimized crystal structure of Ti2NbH2. Source: Alexandria, functional PBE.

Cell: 4.880 5.110 5.583 Å, 111.45 100.98 111.77°
Fractional coordinates of all 10 atoms:
Ti  0.009  0.020  0.259
Ti  0.336  0.653  0.243
Ti  0.664  0.347  0.757
Ti  0.991  0.980  0.741
Nb  0.342  0.666  0.747
Nb  0.658  0.334  0.253
H  0.079  0.748  0.963
H  0.261  0.928  0.539
H  0.739  0.072  0.461
H  0.921  0.252  0.037

Properties
Volume in Å³/f.u.: 55.73
Total moment in μB/atom: 0.000
Distance to the lowest polymorph of the same formula in eV per atom: 0.009
Space group: P-1 (2)



The lowest volume belongs to which entry? Ti2NbH2